Density functional theory data (GGA-PBE) for LiTiAl2Hg after structural relaxation.

```
5
Lattice="5.0636 0.0000 0.0000 0.0000 5.2726 0.0000 0.0000 0.0000 5.0636" Properties=species:S:1:pos:R:3 pbc="T T T"
Li 2.5318 2.6363 2.5318
Ti 0.0000 0.0000 0.0000
Al 2.5318 0.0000 0.0000
Al 0.0000 0.0000 2.5318
Hg 0.0000 2.6363 0.0000
```

Summary:
Its energy is -2.96 eV/atom.


Density functional theory data (GGA-PBE) for LaZrPb2 after structural relaxation.

```
4
Lattice="-0.5639 3.3631 -0.2096 -0.3512 -0.3332 -4.4005 -7.1444 -1.1570 0.6578" Properties=species:S:1:pos:R:3 pbc="T T T"
Pb -0.1917 -0.0311 0.0177
Pb -3.3804 -0.5474 0.3112
La -5.8158 0.6472 -1.8117
Zr -2.2437 1.2257 -2.1406
```

Summary:
Its energy is -5.54 eV/atom.


Density functional theory data (GGA-PBE) for Sc2AgRu after structural relaxation.

```
4
Lattice="4.6462 0.0156 -0.0014 -0.0198 4.6464 -0.0014 0.0006 0.0006 3.3533" Properties=species:S:1:pos:R:3 pbc="T T T"
Sc 0.0000 0.0000 0.0000
Sc 2.3132 2.3310 -0.0014
Ru -0.0096 2.3235 1.6759
Ag 2.3234 0.0081 1.6759
```

Summary:
Its energy is -6.61 eV/atom.


Density functional theory data (GGA-PBE) for Te2Pb2Au after structural relaxation.

```
5
Lattice="4.9405 0.0000 0.0000 0.0000 4.9405 0.0000 2.4703 2.4703 7.3156" Properties=species:S:1:pos:R:3 pbc="T T T"
Te 4.9405 2.4703 3.6578
Te 2.4703 4.9405 3.6578
Pb 2.4703 2.4703 1.6932
Pb 4.9405 4.9405 5.6224
Au 0.0000 0.0000 0.0000
```

Summary:
The value obtained for the offset from the most stable computed form is 203.5 meV per atom. As for the energy relative to the elements, uncorrected: 191 meV per atom.


Density functional theory data (GGA-PBE) for Cs2VI5 after structural relaxation.

```
8
Lattice="-5.4443 5.0238 -3.3185 -1.4537 -6.1580 -5.0974 -1.0114 -1.6544 8.1655" Properties=species:S:1:pos:R:3 pbc="T T T"
I -1.8970 -0.9677 1.8253
I -5.0306 -0.8199 -6.1294
I -5.8734 -1.7989 -1.9067
I -3.6253 -5.5020 3.0554
I -5.9152 0.9539 4.0986
Cs -2.9935 -4.1986 -0.6261
Cs -4.9979 1.3923 0.2709
V -6.6640 -1.0948 -8.1287
```

Summary:
The value obtained for the offset from the most stable computed form is 0.0 meV per atom. As for the energy relative to the elements, uncorrected: -993 meV per atom.


Density functional theory data (GGA-PBE) for LaIn2Ir after structural relaxation.

```
4
Lattice="3.6273 0.0000 0.0000 0.0000 3.3436 0.0002 0.0000 3.3288 7.8799" Properties=species:S:1:pos:R:3 pbc="T T T"
In 0.0000 3.3475 0.2763
In 1.8136 1.6658 2.2680
Ir 0.0000 3.3350 3.7222
La 1.8136 5.0038 5.5538
```

Summary:
Its energy is -5.12 eV/atom.


Density functional theory data (GGA-PBE) for TmAl2ZnPt4 after structural relaxation.

```
8
Lattice="4.2913 0.0000 0.0000 2.1456 3.7164 0.0000 2.1456 1.2388 8.4119" Properties=species:S:1:pos:R:3 pbc="T T T"
Zn 4.2913 2.4776 4.2060
Al 2.1456 1.2388 2.2913
Al 6.4369 3.7164 6.1207
Pt 4.2913 2.4776 6.7526
Pt 2.1456 1.2388 5.0922
Pt 4.2913 2.4776 1.6593
Pt 6.4369 3.7164 3.3197
Tm 0.0000 0.0000 0.0000
```

Summary:
Its energy is -5.64 eV/atom.


Density functional theory data (GGA-PBE) for Na2ReH5 after structural relaxation.

```
8
Lattice="2.3536 0.4853 1.6865 2.7292 5.5819 -0.2991 -0.6477 -0.4835 6.1356" Properties=species:S:1:pos:R:3 pbc="T T T"
Na 1.9112 1.5680 4.5747
Na 3.1157 3.5519 2.3299
H 1.6729 1.7486 2.3044
H 2.2055 1.2691 6.7980
H 2.3585 3.2812 6.0090
H 4.2687 5.5108 2.7150
H 4.0075 4.8644 5.8055
Re 2.1715 4.9876 5.7772
```

Summary:
Its energy is -3.99 eV/atom.


no.,size of the total moment (μB per formula unit)
1,0.80
2,0.27
3,0.00
4,0.00
5,2.00
6,0.00
7,0.00
8,0.00